## PrSm3Y (PBE)

Data for an optimized crystal structure of PrSm3Y.

Output
D(E_F): 17.6 states/eV/cell
energy of formation from the pure elements: 0.02 eV/atom
crystal system: triclinic

Unit cell a=6.379 b=6.916 c=9.407 alpha=108.64 beta=90.10 gamma=117.41
Positions (direct):
1 Pr 0.136 0.102 0.350
2 Pr 0.864 0.898 0.650
3 Sm 0.263 0.701 0.449
4 Sm 0.335 0.500 0.752
5 Sm 0.468 0.101 0.852
6 Sm 0.532 0.899 0.148
7 Sm 0.665 0.500 0.248
8 Sm 0.737 0.299 0.551
9 Y 0.065 0.300 0.049
10 Y 0.935 0.700 0.951